# 1
# AcAlTl2

An optimized crystal structure of AcAlTl2 (PBE, Alexandria).

The structure in POSCAR format:
```
AcAlTl2
1.0
3.9214 0.0000 0.0000
0.0000 3.9214 0.0000
0.0000 0.0000 7.5288
Ac Al Tl
1 1 2
Cartesian
0.0000 0.0000 0.0000
0.0000 0.0000 3.7644
1.9607 1.9607 2.2067
1.9607 1.9607 5.3221
```

Calculated values
ΔE_f: -0.067 eV per atom
E_tot: -12.85 eV/cell
D(E_F): 0.8617 states/eV/atom

# 2
# AcAlTl

An optimized crystal structure of AcAlTl (PBE, Alexandria).

The structure in POSCAR format:
```
AcAlTl
1.0
2.3867 -7.9568 0.0000
2.3867 7.9568 0.0000
0.0000 0.0000 5.2243
Ac Al Tl
2 2 2
Cartesian
2.3867 5.8689 3.9182
2.3867 -5.8689 1.3061
2.3867 0.0000 0.0000
2.3867 0.0000 2.6121
2.3867 2.5412 3.9182
2.3867 -2.5412 1.3061
```

Calculated values
ΔE_f: -0.153 eV per atom
E_tot: -21.35 eV/cell
D(E_F): 0.6542 states/eV/atom

# 3
# Ac5AlTl2

An optimized crystal structure of Ac5AlTl2 (PBE, Alexandria).

The structure in POSCAR format:
```
Ac5AlTl2
1.0
7.4072 0.0000 0.0000
0.0000 14.2065 0.0000
0.0000 0.0000 5.6007
Ac Al Tl
10 2 4
Cartesian
0.0000 0.0000 0.0000
1.0887 4.0104 0.0000
1.1571 8.4543 2.8004
2.5465 1.3510 2.8004
2.6149 11.1137 0.0000
3.7036 7.1033 0.0000
4.7923 3.0928 0.0000
4.8607 12.8555 2.8004
6.2501 5.7523 2.8004
6.3185 10.1961 0.0000
0.0000 7.1033 0.0000
3.7036 0.0000 0.0000
0.8281 12.0359 2.8004
2.8755 4.9326 2.8004
4.5317 9.2739 2.8004
6.5790 2.1706 2.8004
```

Calculated values
ΔE_f: -0.246 eV per atom
E_tot: -61.97 eV/cell
D(E_F): 0.8254 states/eV/atom

# 4
# Ac12AlTl6

An optimized crystal structure of Ac12AlTl6 (PBE, Alexandria).

The structure in POSCAR format:
```
Ac12AlTl6
1.0
7.4169 4.2821 4.3852
-7.4169 4.2821 4.3852
0.0000 -8.5643 4.3852
Ac Al Tl
12 1 6
Cartesian
-6.6687 -1.5762 7.2782
-1.9693 -6.5633 5.8773
-2.7468 -0.3761 5.0821
-4.6994 4.9871 5.8773
1.6991 -2.1907 5.0821
-1.0477 -2.5669 8.0735
1.0477 2.5668 5.0821
-1.6991 2.1907 8.0735
4.6994 -4.9871 7.2782
2.7468 0.3761 8.0735
1.9693 6.5633 7.2782
6.6687 1.5762 5.8773
0.0000 0.0000 0.0000
-1.3801 -3.4815 4.7387
-2.3250 2.9359 4.7387
-3.7051 -0.5456 8.4169
3.7051 0.5456 4.7387
2.3250 -2.9359 8.4169
1.3801 3.4815 8.4169
```

Calculated values
ΔE_f: -0.018 eV per atom
E_tot: -67.57 eV/cell
D(E_F): 1.7139 states/eV/atom

# 5
# Ac4AlTl3

An optimized crystal structure of Ac4AlTl3 (PBE, Alexandria).

The structure in POSCAR format:
```
Ac4AlTl3
1.0
4.6444 0.0000 0.0000
0.0000 4.9885 0.0000
0.0000 0.0000 12.3771
Ac Al Tl
4 1 3
Cartesian
0.0000 0.0000 0.0000
0.0000 2.4943 6.0044
2.3222 0.0000 8.8332
2.3222 2.4943 2.6720
0.0000 0.0000 3.4909
0.0000 2.4943 9.5103
2.3222 0.0000 5.2676
2.3222 2.4943 11.5789
```

Calculated values
ΔE_f: -0.318 eV per atom
E_tot: -29.82 eV/cell
D(E_F): 1.0995 states/eV/atom

# 6
# AcAlTl2

An optimized crystal structure of AcAlTl2 (PBE, Alexandria).

The structure in POSCAR format:
```
AcAlTl2
1.0
4.8668 0.0000 0.0000
0.0000 4.8668 0.0000
0.0000 0.0000 4.9538
Ac Al Tl
1 1 2
Cartesian
0.0000 0.0000 0.0000
2.4334 2.4334 0.0000
0.0000 2.4334 2.4769
2.4334 0.0000 2.4769
```

Calculated values
ΔE_f: -0.198 eV per atom
E_tot: -13.37 eV/cell
D(E_F): 0.5174 states/eV/atom

# 7
# AcAlTl

An optimized crystal structure of AcAlTl (PBE, Alexandria).

The structure in POSCAR format:
```
AcAlTl
1.0
4.6882 0.0000 0.0000
-2.3441 4.0601 0.0000
0.0000 0.0000 4.7417
Ac Al Tl
1 1 1
Cartesian
0.0000 0.0000 0.0000
2.3441 1.3534 2.4019
0.0000 2.7067 2.3465
```

Calculated values
ΔE_f: -0.315 eV per atom
E_tot: -11.16 eV/cell
D(E_F): 0.5796 states/eV/atom

# 8
# AcAlTl

An optimized crystal structure of AcAlTl (PBE, Alexandria).

The structure in POSCAR format:
```
AcAlTl
1.0
-1.8882 1.8882 6.1545
1.8882 -1.8882 6.1545
1.8882 1.8882 -6.1545
Ac Al Tl
1 1 1
Cartesian
0.0000 0.0000 0.0000
0.0000 0.0000 8.3304
0.0000 0.0000 3.6928
```

Calculated values
ΔE_f: -0.112 eV per atom
E_tot: -10.55 eV/cell
D(E_F): 0.9594 states/eV/atom